1.
Compound: Ac3HoS
Source: the Alexandria database
Functional: PBE
Structure: relaxed

a b c (Å): 5.819 5.819 5.819
angles (deg): 90.00 90.00 90.00
Fractional positions:
1 Ac 0.000 0.500 0.000
2 Ac 0.500 0.000 0.000
3 Ho 0.500 0.500 0.500
4 S 0.000 0.000 0.000
5 Ac 0.000 0.000 0.500

Summary:
The energy relative to the elements, uncorrected comes out at -0.630 eV per atom. Its crystal system is cubic. The calculation puts the density of states at the Fermi level at 1.11 states/eV per atom. For the raw total energy, the calculation gives -24.182 eV/cell. Its total magnetic moment is 0.000 μB per cell. The space group is Pm-3m (221).

***

2.
Compound: CdCo3P
Source: the Alexandria database
Functional: PBE
Structure: relaxed

a b c (Å): 4.165 4.165 4.165
angles (deg): 90.00 90.00 90.00
Site moments in Bohr magnetons follow the coordinates.
Fractional positions:
1 P 0.000 0.000 0.000  -0.01
2 Co 0.000 0.000 0.500  0.81
3 Co 0.000 0.500 0.000  0.84
4 Co 0.500 0.000 0.000  0.91
5 Cd 0.500 0.500 0.500  -0.04

Summary:
Its crystal system is cubic. The calculation puts the density of states at the Fermi level at 0.88 states/eV per atom. For the raw total energy, the calculation gives -27.058 eV/cell. Its total magnetic moment is 2.404 μB per cell. The offset from the most stable computed form is 0.000 eV per atom. The space group is Pm-3m (221). The value obtained for the formation energy from the elements is 117 meV per atom.

***

3.
Compound: Nb4GaNi
Source: the Alexandria database
Functional: PBE
Structure: relaxed

a b c (Å): 5.025 6.310 6.310
angles (deg): 90.00 90.00 90.00
Fractional positions:
1 Nb 0.000 0.165 0.645
2 Nb 0.500 0.165 0.355
3 Nb 0.000 0.355 0.165
4 Ni 0.750 0.500 0.500
5 Ni 0.250 0.500 0.500
6 Ga 0.750 0.000 0.000
7 Nb 0.000 0.835 0.355
8 Ga 0.250 0.000 0.000
9 Nb 0.500 0.355 0.835
10 Nb 0.500 0.645 0.165
11 Nb 0.000 0.645 0.835
12 Nb 0.500 0.835 0.645

Summary:
Its crystal system is tetragonal. The calculation puts the density of states at the Fermi level at 0.83 states/eV per atom. For the raw total energy, the calculation gives -100.784 eV/cell. Its total magnetic moment is 0.000 μB per cell. The space group is P4/mcc (124). The value obtained for the formation energy from the elements is -217 meV per atom.

***

4.
Compound: YTcRu2
Source: the Alexandria database
Functional: PBE
Structure: relaxed

a b c (Å): 5.159 5.159 4.845
angles (deg): 74.93 74.93 33.70
Fractional positions:
1 Ru 0.023 0.023 0.958
2 Ru 0.752 0.752 0.740
3 Y 0.251 0.251 0.243
4 Tc 0.474 0.474 0.559

Summary:
Its crystal system is monoclinic. The calculation puts the density of states at the Fermi level at 1.23 states/eV per atom. For the raw total energy, the calculation gives -34.707 eV/cell. Its total magnetic moment is 0.000 μB per cell. The offset from the most stable computed form is 0.085 eV per atom. The space group is Cm (8). The value obtained for the formation energy from the elements is 169 meV per atom.

***

5.
Compound: KMnCu2
Source: the Alexandria database
Functional: PBE
Structure: relaxed

a b c (Å): 9.466 9.466 9.466
angles (deg): 18.49 18.49 18.49
Site moments in Bohr magnetons follow the coordinates.
Fractional positions:
1 Mn 0.750 0.750 0.750  3.71
2 Cu 0.484 0.484 0.484  0.10
3 Cu 0.016 0.016 0.016  0.10
4 K 0.250 0.250 0.250  0.01

Summary:
Its crystal system is trigonal. The calculation puts the density of states at the Fermi level at 0.83 states/eV per atom. For the raw total energy, the calculation gives -15.790 eV/cell. Its total magnetic moment is 4.163 μB per cell. The offset from the most stable computed form is 0.251 eV per atom. The space group is R-3m (166). The value obtained for the formation energy from the elements is 667 meV per atom.

***

6.
Compound: ZrNp5S6
Source: the Alexandria database
Functional: PBE
Structure: relaxed

a b c (Å): 6.688 6.688 6.692
angles (deg): 99.60 99.60 120.26
Site moments in Bohr magnetons follow the coordinates.
Fractional positions:
1 S 0.410 0.079 0.243  0.05
2 S 0.756 0.756 0.246  0.06
3 Np 0.334 0.666 0.000  -3.70
4 S 0.921 0.590 0.757  0.05
5 Np 0.167 0.833 0.500  -3.73
6 S 0.079 0.410 0.243  0.05
7 Zr 0.000 0.000 0.000  0.04
8 Np 0.666 0.334 0.000  -3.70
9 S 0.244 0.244 0.754  0.06
10 Np 0.500 0.500 0.500  3.70
11 S 0.590 0.921 0.757  0.05
12 Np 0.833 0.167 0.500  -3.73

Summary:
The energy relative to the elements, uncorrected comes out at -1.382 eV per atom. Its crystal system is monoclinic. The calculation puts the density of states at the Fermi level at 3.00 states/eV per atom. For the raw total energy, the calculation gives -114.601 eV/cell. Its total magnetic moment is 11.806 μB per cell. The space group is C2/m (12).